No. 1
Entry from Alexandria: a relaxed CrRu2W crystal (PBE-GGA).

abc: 4.6544 4.6544 4.7172
angles: 80.36 80.36 34.01
Fractional positions:
Cr (0.2500, 0.2500, 0.2500)
Ru (0.5064, 0.5064, 0.4823)
W (0.7500, 0.7500, 0.7500)
Ru (0.9936, 0.9936, 0.0177)

Summary:
E_form = 0.133 eV/atom
Distance to the lowest polymorph of the same formula = 53 meV/atom
Symmetry = C2/m, No. 12

***

No. 2
Entry from Alexandria: a relaxed Tl3Tc crystal (PBE-GGA).

abc: 6.5210 6.5210 10.6575
angles: 90.00 90.00 120.00
Last column: magnetic moment on the atom in μB.
Fractional positions:
Tl (0.5000, 0.0000, 0.5000)  -0.01
Tc (0.0000, 0.0000, 0.5000)  2.35
Tl (0.6799, 0.8400, 0.7500)  -0.01
Tc (0.3333, 0.6667, 0.2500)  2.67
Tc (0.0000, 0.0000, 0.0000)  2.35
Tl (0.1600, 0.8400, 0.7500)  -0.01
Tl (0.8400, 0.1600, 0.2500)  -0.01
Tl (0.5000, 0.5000, 0.5000)  -0.01
Tl (0.3201, 0.1600, 0.2500)  -0.01
Tl (0.8400, 0.6799, 0.2500)  -0.01
Tl (0.5000, 0.5000, 0.0000)  -0.01
Tl (0.0000, 0.5000, 0.5000)  -0.01
Tl (0.5000, 0.0000, 0.0000)  -0.01
Tc (0.6667, 0.3333, 0.7500)  2.67
Tl (0.0000, 0.5000, 0.0000)  -0.01
Tl (0.1600, 0.3201, 0.7500)  -0.01

Summary:
E_form = 0.770 eV/atom
Distance to the lowest polymorph of the same formula = 373 meV/atom
Symmetry = P6_3/mmc, No. 194

***

No. 3
Entry from Alexandria: a relaxed TeAs2Pt crystal (PBE-GGA).

abc: 4.8369 4.8369 4.8369
angles: 120.69 120.69 88.80
Fractional positions:
As (0.2500, 0.7500, 0.5000)
As (0.0000, 0.0000, 0.0000)
Pt (0.5000, 0.5000, 0.0000)
Te (0.7500, 0.2500, 0.5000)

Summary:
Uncorrected formation energy = 0.35 eV/atom
Symmetry = I-4m2, No. 119

***

No. 4
Entry from Alexandria: a relaxed RbBaLi2F5 crystal (PBE-GGA).

abc: 4.1502 4.1502 8.1625
angles: 90.00 90.00 90.00
Fractional positions:
Ba (0.0000, 0.0000, 0.0000)
F (0.0000, 0.5000, 0.2044)
Li (0.5000, 0.5000, 0.7270)
F (0.5000, 0.0000, 0.7956)
Rb (0.0000, 0.0000, 0.5000)
F (0.5000, 0.0000, 0.2044)
F (0.0000, 0.5000, 0.7956)
Li (0.5000, 0.5000, 0.2730)
F (0.5000, 0.5000, 0.5000)

Summary:
Uncorrected formation energy = -3.15 eV/atom
Symmetry = P4/mmm, No. 123

***

Number 1: total energy -40.60 eV per cell. Number 2: total energy -57.53 eV per cell. Number 3: total energy -17.07 eV per cell. Number 4: total energy -44.46 eV per cell.